Material: BaLi3Rh
Method: DFT, PBEsol
State: optimized geometry

Cell and atoms, written as POSCAR:
```
BaLi3Rh
1.0
4.8714 0.0000 0.0000
0.0000 4.8714 0.0000
0.0000 0.0000 4.8714
Ba Li Rh
1 3 1
direct
0.0000 0.0000 0.0000
0.0000 0.5000 0.5000
0.5000 0.0000 0.5000
0.5000 0.5000 0.0000
0.5000 0.5000 0.5000
```

Summary:
ΔE_f, eV per atom: 0.1185


Material: BaLiRh2
Method: DFT, PBEsol
State: optimized geometry

Cell and atoms, written as POSCAR:
```
BaLiRh2
1.0
2.1705 1.2531 5.4166
-2.1705 1.2531 5.4166
0.0000 -2.5062 5.4166
Ba Li Rh
1 1 2
direct
0.0000 0.0000 0.0000
0.8103 0.8103 0.8103
0.1952 0.1952 0.1952
0.5240 0.5240 0.5240
```

Summary:
Relative energy among the computed polymorphs, meV/atom: 0.0
ΔE_f, eV per atom: -0.0285


Material: BaLi2Rh
Method: DFT, PBEsol
State: optimized geometry

Cell and atoms, written as POSCAR:
```
BaLi2Rh
1.0
2.1899 1.2643 5.4521
-2.1899 1.2643 5.4521
0.0000 -2.5287 5.4521
Ba Li Rh
1 2 1
direct
0.0000 0.0000 0.0000
0.1851 0.1851 0.1851
0.4830 0.4830 0.4830
0.7917 0.7917 0.7917
```

Summary:
Relative energy among the computed polymorphs, meV/atom: 0.0
ΔE_f, eV per atom: -0.0012


Material: BaLiRh2
Method: DFT, PBEsol
State: optimized geometry

Cell and atoms, written as POSCAR:
```
BaLiRh2
1.0
0.0000 3.3277 3.3277
3.3277 0.0000 3.3277
3.3277 3.3277 0.0000
Ba Li Rh
1 1 2
direct
0.0000 0.0000 0.0000
0.5000 0.5000 0.5000
0.2500 0.2500 0.2500
0.7500 0.7500 0.7500
```

Summary:
Relative energy among the computed polymorphs, meV/atom: 364.7
ΔE_f, eV per atom: 0.3362


Material: BaLiRh2
Method: DFT, PBEsol
State: optimized geometry

Cell and atoms, written as POSCAR:
```
BaLiRh2
1.0
0.0000 3.3425 3.3425
3.3425 0.0000 3.3425
3.3425 3.3425 0.0000
Ba Li Rh
1 1 2
direct
0.0000 0.0000 0.0000
0.7500 0.7500 0.7500
0.2500 0.2500 0.2500
0.5000 0.5000 0.5000
```

Summary:
Relative energy among the computed polymorphs, meV/atom: 356.6
ΔE_f, eV per atom: 0.3280


Material: BaLi2Rh
Method: DFT, PBEsol
State: optimized geometry

Cell and atoms, written as POSCAR:
```
BaLi2Rh
1.0
4.2769 -2.0057 0.0000
4.2769 2.0057 0.0000
-1.5861 0.0000 5.1120
Ba Li Rh
1 2 1
direct
0.0000 0.0000 0.0000
0.1960 0.1960 0.5982
0.8040 0.8040 0.4018
0.5000 0.5000 0.5000
```

Summary:
Relative energy among the computed polymorphs, meV/atom: 43.1
ΔE_f, eV per atom: 0.0419


Material: BaLiRh2
Method: DFT, PBEsol
State: optimized geometry

Cell and atoms, written as POSCAR:
```
BaLiRh2
1.0
3.0529 0.0000 0.0000
0.0000 4.3574 0.0000
-1.2232 0.0000 5.6890
Ba Li Rh
1 1 2
direct
0.0000 0.0000 0.0000
0.5000 0.0000 0.5000
0.3189 0.5000 0.6828
0.6811 0.5000 0.3172
```

Summary:
Relative energy among the computed polymorphs, meV/atom: 244.7
ΔE_f, eV per atom: 0.2162


Material: Ba3LiRh
Method: DFT, PBEsol
State: optimized geometry

Cell and atoms, written as POSCAR:
```
Ba3LiRh
1.0
6.0021 0.0000 0.0000
0.0000 6.0021 0.0000
0.0000 0.0000 6.0021
Ba Li Rh
3 1 1
direct
0.0000 0.0000 0.5000
0.0000 0.5000 0.0000
0.5000 0.0000 0.0000
0.5000 0.5000 0.5000
0.0000 0.0000 0.0000
```

Summary:
ΔE_f, eV per atom: -0.0400